First-principles (PBE-GGA) data for crystalline KGaBr2 at its relaxed geometry, as listed in Alexandria.

Computed properties:
Energy relative to the elements, uncorrected   -0.960 eV per atom
Crystal system   trigonal
Space group   R-3m, No. 166
Energy above the most stable polymorph in this dataset   179 meV/atom

a = 4.968 Å, b = 4.968 Å, c = 27.273 Å
α = 90.00°, β = 90.00°, γ = 120.00°
Atoms (fractional coordinates):
K  0.000  0.000  0.000
K  0.333  0.667  0.667
K  0.667  0.333  0.333
Ga  0.000  0.000  0.500
Ga  0.333  0.667  0.167
Ga  0.667  0.333  0.833
Br  0.000  0.000  0.398
Br  0.000  0.000  0.602
Br  0.333  0.667  0.065
Br  0.333  0.667  0.269
Br  0.667  0.333  0.731
Br  0.667  0.333  0.935